Entry 1:
DFT (PBE-GGA) results for a geometry-optimized Ta3NiPb structure.

Cell: 4.665 4.665 4.665 Å, 90.00 90.00 90.00°
Space group Pm-3m (No. 221)
Symmetry-distinct sites (fractional):
Ta 0.000 0.000 0.500
Ni 0.000 0.000 0.000
Pb 0.500 0.500 0.500

Output
**ΔE_f**: 770.3 meV per atom
**E above lowest polymorph**: 0.0000 eV per atom
**Magnetic moment**: 0.00 μB/atom



Entry 2:
DFT (PBE-GGA) results for a geometry-optimized TaNi2Pb structure.

Cell: 3.1517 3.1517 24.0605 Å, 90.00 90.00 120.00°
Space group R3m (No. 160, hexagonal axes)
Symmetry-distinct sites (fractional):
Ta 0.0000 0.0000 0.0000
Ni 0.0000 0.0000 0.2620
Ni 0.0000 0.0000 0.5258
Pb 0.0000 0.0000 0.7746

Output
**ΔE_f**: 464.3 meV per atom
**Magnetic moment**: 0.00 μB/atom



Entry 3:
DFT (PBE-GGA) results for a geometry-optimized TaNi2Pb2 structure.

Cell: 6.773 6.773 3.991 Å, 90.00 90.00 90.00°
Space group P4/mbm (No. 127)
Symmetry-distinct sites (fractional):
Ta 0.000 0.000 0.000
Ni 0.128 0.372 0.000
Pb 0.178 0.678 0.500

Output
**ΔE_f**: 362.5 meV per atom
**E above lowest polymorph**: 0.0000 eV per atom
**Magnetic moment**: 0.00 μB/atom



Entry 4:
DFT (PBE-GGA) results for a geometry-optimized TaNi2Pb structure.

Cell: 3.956 3.956 8.148 Å, 90.00 90.00 90.00°
Space group I-4m2 (No. 119)
Symmetry-distinct sites (fractional):
Ta 0.000 0.000 0.000
Ni 0.000 0.000 0.500
Ni 0.000 0.500 0.750
Pb 0.000 0.500 0.250

Output
**ΔE_f**: 331.8 meV per atom
**Magnetic moment**: 0.00 μB/atom



Entry 5:
DFT (PBE-GGA) results for a geometry-optimized TaNi2Pb structure.

Cell: 3.259 4.194 5.007 Å, 90.00 108.98 90.00°
Space group Pm (No. 6)
Symmetry-distinct sites (fractional):
Ta 0.000 0.000 0.000
Ni 0.568 0.500 0.127
Ni 0.715 0.000 0.427
Pb 0.295 0.500 0.583

Output
**ΔE_f**: 180.0 meV per atom
**Magnetic moment**: 0.00 μB/atom



Entry 6:
DFT (PBE-GGA) results for a geometry-optimized TaNi2Pb structure.

Cell: 8.194 3.219 5.335 Å, 90.00 101.13 90.00°
Space group C2/m (No. 12)
Symmetry-distinct sites (fractional):
Ta 0.000 0.000 0.000
Ni 0.230 0.500 0.177
Pb 0.000 0.500 0.500

Output
**ΔE_f**: 169.2 meV per atom
**Magnetic moment**: 0.00 μB/atom



Entry 7:
DFT (PBE-GGA) results for a geometry-optimized TaNi2Pb2 structure.

Cell: 4.212 4.212 10.921 Å, 90.00 90.00 90.00°
Space group I4/mmm (No. 139)
Symmetry-distinct sites (fractional):
Ta 0.000 0.000 0.000
Ni 0.000 0.000 0.398
Pb 0.000 0.500 0.250

Output
**ΔE_f**: 846.1 meV per atom
**E above lowest polymorph**: 0.4836 eV per atom
**Magnetic moment**: 0.00 μB/atom



Entry 8:
DFT (PBE-GGA) results for a geometry-optimized Ta3NiPb structure.

Cell: 5.079 5.079 5.079 Å, 90.00 90.00 90.00°
Space group Pm-3m (No. 221)
Symmetry-distinct sites (fractional):
Ta 0.000 0.000 0.500
Ni 0.500 0.500 0.500
Pb 0.000 0.000 0.000

Output
**ΔE_f**: 2701.9 meV per atom
**E above lowest polymorph**: 1.9316 eV per atom
**Magnetic moment**: 0.19 μB/atom



Entry 9:
DFT (PBE-GGA) results for a geometry-optimized Ta4NiPb structure.

Cell: 7.774 7.774 7.774 Å, 90.00 90.00 90.00°
Space group F-43m (No. 216)
Symmetry-distinct sites (fractional):
Ta 0.125 0.125 0.125
Ni 0.250 0.250 0.750
Pb 0.000 0.000 0.500

Output
**ΔE_f**: 635.2 meV per atom
**Magnetic moment**: 0.00 μB/atom



Entry 10:
DFT (PBE-GGA) results for a geometry-optimized TaNi2Pb structure.

Cell: 3.131 4.409 9.216 Å, 90.00 90.00 90.00°
Space group Imm2 (No. 44)
Symmetry-distinct sites (fractional):
Ta 0.000 0.000 0.000
Ni 0.000 0.000 0.483
Ni 0.000 0.500 0.769
Pb 0.000 0.500 0.226

Output
**ΔE_f**: 288.7 meV per atom
**Magnetic moment**: 0.00 μB/atom



Entry 11:
DFT (PBE-GGA) results for a geometry-optimized TaNi2Pb structure.

Cell: 3.267 3.267 6.257 Å, 90.00 90.00 90.00°
Space group P4/mmm (No. 123)
Symmetry-distinct sites (fractional):
Ta 0.000 0.000 0.000
Ni 0.500 0.500 0.200
Pb 0.000 0.000 0.500

Output
**ΔE_f**: 20.9 meV per atom
**Magnetic moment**: 0.00 μB/atom



Entry 12:
DFT (PBE-GGA) results for a geometry-optimized TaNi2Pb structure.

Cell: 3.2013 3.2013 24.2148 Å, 90.00 90.00 120.00°
Space group R-3m (No. 166, hexagonal axes)
Symmetry-distinct sites (fractional):
Ta 0.0000 0.0000 0.0000
Ni 0.0000 0.0000 0.2626
Pb 0.0000 0.0000 0.5000

Output
**ΔE_f**: 208.5 meV per atom
**Magnetic moment**: 0.00 μB/atom



Repeat the eighth record exactly.
DFT (PBE-GGA) results for a geometry-optimized Ta3NiPb structure.

Cell: 5.079 5.079 5.079 Å, 90.00 90.00 90.00°
Space group Pm-3m (No. 221)
Symmetry-distinct sites (fractional):
Ta 0.000 0.000 0.500
Ni 0.500 0.500 0.500
Pb 0.000 0.000 0.000

Output
**ΔE_f**: 2701.9 meV per atom
**E above lowest polymorph**: 1.9316 eV per atom
**Magnetic moment**: 0.19 μB/atom



Among the records above, which one has the highest magnetic moment? number 8



Which value of magnetic moment does entry 10 give? 0.00 μB/atom